Entry 1:
Ti2CrGa3: optimized geometry, GGA-PBE.

Output
D(E_F) = 8.2 states/eV per cell
Energy of formation from the pure elements = -0.23 eV/atom
Electronic total energy = -71.7 eV per cell

Unit cell a=5.327 b=5.197 c=7.362 alpha=102.92 beta=111.21 gamma=90.00
Site moments in Bohr magnetons follow the coordinates.
Atoms (fractional coordinates):
Ga1 0.358 0.750 0.000  -0.06
Ti1 0.789 0.069 0.330  -0.21
Ga2 0.642 0.250 0.000  -0.06
Ti2 0.542 0.569 0.330  -0.21
Cr1 0.146 0.250 0.000  2.26
Ga3 0.717 0.949 0.677  -0.02
Cr2 0.854 0.750 0.000  2.26
Ga4 0.959 0.449 0.677  -0.02
Ga5 0.041 0.551 0.323  -0.02
Ti3 0.458 0.431 0.670  -0.21
Ti4 0.211 0.931 0.670  -0.21
Ga6 0.283 0.051 0.323  -0.02

Entry 2:
Ti6CrGa2: optimized geometry, GGA-PBE.

Output
D(E_F) = 10.9 states/eV per cell
Energy of formation from the pure elements = 0.16 eV/atom
Electronic total energy = -61.6 eV per cell

Unit cell a=4.422 b=5.985 c=7.257 alpha=114.35 beta=107.74 gamma=90.00
Atoms (fractional coordinates):
Ti1 0.152 0.400 0.305
Ti2 0.848 0.095 0.695
Ti3 0.848 0.600 0.695
Ti4 0.152 0.905 0.305
Cr1 0.000 0.000 0.000
Ti5 0.500 0.234 0.000
Ti6 0.500 0.766 0.000
Ga1 0.673 0.672 0.345
Ga2 0.327 0.328 0.655

Entry 3:
Ti2CrGa: optimized geometry, GGA-PBE.

Output
D(E_F) = 7.9 states/eV per cell
Energy of formation from the pure elements = 0.27 eV/atom
Electronic total energy = -54.7 eV per cell

Unit cell a=6.949 b=6.949 c=5.558 alpha=51.31 beta=51.31 gamma=90.00
Atoms (fractional coordinates):
Ti1 0.375 0.399 0.750
Cr1 0.500 0.500 0.000
Ti2 0.149 0.625 0.250
Ga1 0.000 0.000 0.000
Ga2 0.750 0.250 0.500
Ti3 0.601 0.125 0.250
Cr2 0.250 0.750 0.500
Ti4 0.875 0.851 0.750

Entry 4:
Ti4CrGa3: optimized geometry, GGA-PBE.

Output
D(E_F) = 4.9 states/eV per cell
Energy of formation from the pure elements = -0.35 eV/atom
Electronic total energy = -53.1 eV per cell

Unit cell a=4.184 b=4.184 c=7.576 alpha=106.06 beta=106.03 gamma=90.00
Atoms (fractional coordinates):
Ga1 0.000 0.500 0.000
Ti1 0.381 0.381 0.761
Ti2 0.619 0.619 0.239
Ti3 0.881 0.881 0.762
Ga2 0.747 0.247 0.494
Cr1 0.500 0.000 0.000
Ti4 0.119 0.119 0.238
Ga3 0.253 0.753 0.506

Entry 5:
TiCrGa2: optimized geometry, GGA-PBE.

Output
D(E_F) = 3.1 states/eV per cell
Energy of formation from the pure elements = -0.21 eV/atom
Electronic total energy = -24.4 eV per cell

Unit cell a=3.974 b=3.839 c=3.839 alpha=90.00 beta=90.00 gamma=90.00
Site moments in Bohr magnetons follow the coordinates.
Atoms (fractional coordinates):
Ti1 0.500 0.000 0.000  -0.35
Cr1 0.500 0.500 0.500  1.91
Ga1 0.000 0.000 0.500  -0.04
Ga2 0.000 0.500 0.000  -0.04

Entry 6:
TiCrGa2: optimized geometry, GGA-PBE.

Output
D(E_F) = 3.9 states/eV per cell
Energy of formation from the pure elements = 0.17 eV/atom
Electronic total energy = -45.8 eV per cell

Unit cell a=6.880 b=6.880 c=5.540 alpha=51.61 beta=51.61 gamma=90.00
Atoms (fractional coordinates):
Ga1 0.642 0.125 0.250
Ga2 0.375 0.358 0.750
Ti1 0.500 0.500 0.000
Ga3 0.108 0.625 0.250
Ti2 0.250 0.750 0.500
Cr1 0.750 0.250 0.500
Cr2 0.000 0.000 0.000
Ga4 0.875 0.892 0.750

Entry 7:
Ti2CrGa: optimized geometry, GGA-PBE.

Output
D(E_F) = 3.1 states/eV per cell
Energy of formation from the pure elements = -0.30 eV/atom
Electronic total energy = -29.6 eV per cell

Unit cell a=3.135 b=3.135 c=6.045 alpha=90.00 beta=90.00 gamma=90.00
Atoms (fractional coordinates):
Ga1 0.500 0.500 0.500
Cr1 0.500 0.500 0.000
Ti1 0.000 0.000 0.230
Ti2 0.000 0.000 0.770

Entry 8:
TiCrGa3: optimized geometry, GGA-PBE.

Output
D(E_F) = 6.7 states/eV per cell
Energy above the most stable polymorph in this dataset = 0.0 meV per atom
Energy of formation from the pure elements = -0.01 eV/atom
Electronic total energy = -53.3 eV per cell

Unit cell a=4.426 b=5.364 c=7.026 alpha=90.00 beta=90.00 gamma=90.00
Site moments in Bohr magnetons follow the coordinates.
Atoms (fractional coordinates):
Ga1 0.750 0.750 0.045  0.00
Cr1 0.250 0.250 0.607  1.38
Ga2 0.250 0.991 0.279  -0.04
Ga3 0.750 0.009 0.721  -0.04
Ga4 0.750 0.491 0.721  -0.04
Ga5 0.250 0.509 0.279  -0.04
Ti1 0.750 0.250 0.382  -0.34
Cr2 0.750 0.750 0.393  1.38
Ti2 0.250 0.750 0.618  -0.34
Ga6 0.250 0.250 0.955  0.00

Question: Look up the energy of formation from the pure elements of the eighth one.
Answer: -0.01 eV/atom